Computed, not measured: YLu2O after structural relaxation at the GGA-PBE level of DFT.

M_tot   0.000 μB/atom
Energy relative to the elements, uncorrected   -3.2 eV/f.u.

Cell and atoms, written as CIF:
```
data_YLu2O
_cell_length_a 3.156
_cell_length_b 3.156
_cell_length_c 8.506
_cell_angle_alpha 90.00
_cell_angle_beta 90.00
_cell_angle_gamma 90.00
_space_group_name_H-M_alt 'P 4/m m m'
_space_group_IT_number 123
_space_group_name_Hall '-P 4 2'
loop_
_atom_site_label
_atom_site_fract_x
_atom_site_fract_y
_atom_site_fract_z
Y1 0.000 0.000 0.000
Lu1 0.500 0.500 0.320
O1 0.000 0.000 0.500
```

=====

Computed, not measured: YLu2O after structural relaxation at the GGA-PBE level of DFT.

M_tot   0.048 μB/atom
Energy relative to the elements, uncorrected   -4.7 eV/f.u.

Cell and atoms, written as CIF:
```
data_YLu2O
_cell_length_a 3.3873
_cell_length_b 3.3873
_cell_length_c 27.3954
_cell_angle_alpha 90.00
_cell_angle_beta 90.00
_cell_angle_gamma 120.00
_space_group_name_H-M_alt 'R -3 m'
_space_group_IT_number 166
_space_group_name_Hall '-R 3 2"'
loop_
_atom_site_label
_atom_site_fract_x
_atom_site_fract_y
_atom_site_fract_z
Y1 0.0000 0.0000 0.0000
Lu1 0.0000 0.0000 0.1194
O1 0.0000 0.0000 0.5000
```

=====

Computed, not measured: YLuO3 after structural relaxation at the GGA-PBE level of DFT.

M_tot   0.000 μB/atom
Energy relative to the elements, uncorrected   -17.8 eV/f.u.

Cell and atoms, written as CIF:
```
data_YLuO3
_cell_length_a 5.876
_cell_length_b 8.280
_cell_length_c 5.609
_cell_angle_alpha 90.00
_cell_angle_beta 90.00
_cell_angle_gamma 90.00
_space_group_name_H-M_alt 'P n m a'
_space_group_IT_number 62
_space_group_name_Hall '-P 2ac 2n'
loop_
_atom_site_label
_atom_site_fract_x
_atom_site_fract_y
_atom_site_fract_z
Y1 0.056 0.250 0.020
Lu1 0.000 0.000 0.500
O1 0.073 0.750 0.357
O2 0.191 0.577 0.812
```

=====

Computed, not measured: YLuO after structural relaxation at the GGA-PBE level of DFT.

M_tot   0.000 μB/atom
Energy relative to the elements, uncorrected   -5.5 eV/f.u.

Cell and atoms, written as CIF:
```
data_YLuO
_cell_length_a 3.4794
_cell_length_b 3.4794
_cell_length_c 5.6458
_cell_angle_alpha 90.00
_cell_angle_beta 90.00
_cell_angle_gamma 120.00
_space_group_name_H-M_alt 'P 3 m 1'
_space_group_IT_number 156
_space_group_name_Hall 'P 3 -2"'
loop_
_atom_site_label
_atom_site_fract_x
_atom_site_fract_y
_atom_site_fract_z
Y1 0.0000 0.0000 0.0000
Lu1 0.3333 0.6667 0.4766
O1 0.6667 0.3333 0.2566
```

=====

Computed, not measured: YLuO3 after structural relaxation at the GGA-PBE level of DFT.

M_tot   0.000 μB/atom
Energy relative to the elements, uncorrected   -17.8 eV/f.u.

Cell and atoms, written as CIF:
```
data_YLuO3
_cell_length_a 3.6645
_cell_length_b 3.6645
_cell_length_c 12.7865
_cell_angle_alpha 90.00
_cell_angle_beta 90.00
_cell_angle_gamma 120.00
_space_group_name_H-M_alt 'P 63/m m c'
_space_group_IT_number 194
_space_group_name_Hall '-P 6c 2c'
loop_
_atom_site_label
_atom_site_fract_x
_atom_site_fract_y
_atom_site_fract_z
Y1 0.0000 0.0000 0.0000
Lu1 0.3333 0.6667 0.2500
O1 0.0000 0.0000 0.2500
O2 0.3333 0.6667 0.0793
```

=====

Computed, not measured: Lu3ZnO after structural relaxation at the GGA-PBE level of DFT.

M_tot   0.000 μB/atom
Energy relative to the elements, uncorrected   -6.3 eV/f.u.

Cell and atoms, written as CIF:
```
data_Lu3ZnO
_cell_length_a 4.593
_cell_length_b 4.593
_cell_length_c 4.593
_cell_angle_alpha 90.00
_cell_angle_beta 90.00
_cell_angle_gamma 90.00
_space_group_name_H-M_alt 'P m -3 m'
_space_group_IT_number 221
_space_group_name_Hall '-P 4 2 3'
loop_
_atom_site_label
_atom_site_fract_x
_atom_site_fract_y
_atom_site_fract_z
Lu1 0.000 0.000 0.500
Zn1 0.500 0.500 0.500
O1 0.000 0.000 0.000
```